# LiTl12Sb6, optimized geometry, DFT PBE-GGA
# Magnetic moment in Bohr magnetons per cell: 0.0
# Mass density in Mg/m³: 9.0
# Formation energy from raw total energies in meV per atom: -10
data_LiTl12Sb6
_space_group_name_H-M_alt 'R -3'
_space_group_IT_number 148
_space_group_name_Hall '-R 3'
_cell_length_a 11.6912
_cell_length_b 11.6912
_cell_length_c 14.9747
_cell_angle_alpha 90.00
_cell_angle_beta 90.00
_cell_angle_gamma 120.00
loop_
_atom_site_label
_atom_site_fract_x
_atom_site_fract_y
_atom_site_fract_z
Li1 0.0000 0.0000 0.0000
Tl1 0.0483 0.8631 0.8004
Tl2 0.0659 0.2312 0.4165
Sb1 0.0617 0.6008 0.7089